Record 1
# KNaPb (GGA-PBE, relaxed)
data_KNaPb
_cell_length_a 7.229
_cell_length_b 7.229
_cell_length_c 5.538
_cell_angle_alpha 90.00
_cell_angle_beta 90.00
_cell_angle_gamma 104.69
_symmetry_space_group_name_H-M 'P 1'
_symmetry_Int_Tables_number 1
_symmetry_space_group_name_Hall 'P 1'
loop_
_atom_site_label
_atom_site_type_symbol
_atom_site_fract_x
_atom_site_fract_y
_atom_site_fract_z
_atom_site_occupancy
K1 K 0.208 0.792 0.000 1
K2 K 0.792 0.208 0.000 1
Na1 Na 0.000 0.000 0.500 1
Na2 Na 0.500 0.500 0.000 1
Pb1 Pb 0.334 0.334 0.500 1
Pb2 Pb 0.666 0.666 0.500 1
# **Crystal system**: orthorhombic
# **Distance to the lowest polymorph of the same formula**: 204.4 meV per atom
# **Calculated volume**: 279.97 Å³/cell

=====

Record 2
# K3Na8Pb2 (GGA-PBE, relaxed)
data_K3Na8Pb2
_cell_length_a 14.651
_cell_length_b 14.651
_cell_length_c 14.651
_cell_angle_alpha 26.49
_cell_angle_beta 26.49
_cell_angle_gamma 26.49
_symmetry_space_group_name_H-M 'P 1'
_symmetry_Int_Tables_number 1
_symmetry_space_group_name_Hall 'P 1'
loop_
_atom_site_label
_atom_site_type_symbol
_atom_site_fract_x
_atom_site_fract_y
_atom_site_fract_z
_atom_site_occupancy
K1 K 0.000 0.000 0.000 1
K2 K 0.185 0.185 0.185 1
K3 K 0.815 0.815 0.815 1
Na1 Na 0.240 0.742 0.742 1
Na2 Na 0.258 0.258 0.760 1
Na3 Na 0.258 0.760 0.258 1
Na4 Na 0.290 0.290 0.290 1
Na5 Na 0.710 0.710 0.710 1
Na6 Na 0.742 0.240 0.742 1
Na7 Na 0.742 0.742 0.240 1
Na8 Na 0.760 0.258 0.258 1
Pb1 Pb 0.364 0.364 0.364 1
Pb2 Pb 0.636 0.636 0.636 1
# **Crystal system**: trigonal
# **Calculated volume**: 551.61 Å³/cell

=====

Record 3
# K2Na2Pb (GGA-PBE, relaxed)
data_K2Na2Pb
_cell_length_a 5.889
_cell_length_b 5.889
_cell_length_c 7.222
_cell_angle_alpha 114.11
_cell_angle_beta 114.11
_cell_angle_gamma 60.05
_symmetry_space_group_name_H-M 'P 1'
_symmetry_Int_Tables_number 1
_symmetry_space_group_name_Hall 'P 1'
loop_
_atom_site_label
_atom_site_type_symbol
_atom_site_fract_x
_atom_site_fract_y
_atom_site_fract_z
_atom_site_occupancy
K1 K 0.205 0.205 0.113 1
K2 K 0.795 0.795 0.887 1
Na1 Na 0.378 0.378 0.635 1
Na2 Na 0.622 0.622 0.365 1
Pb1 Pb 0.000 0.000 0.500 1
# **Crystal system**: monoclinic
# **Distance to the lowest polymorph of the same formula**: 0.0 meV per atom
# **Calculated volume**: 191.33 Å³/cell

=====

Record 4
# KNa6Pb2 (GGA-PBE, relaxed)
data_KNa6Pb2
_cell_length_a 8.873
_cell_length_b 8.873
_cell_length_c 8.873
_cell_angle_alpha 143.00
_cell_angle_beta 131.82
_cell_angle_gamma 62.26
_symmetry_space_group_name_H-M 'P 1'
_symmetry_Int_Tables_number 1
_symmetry_space_group_name_Hall 'P 1'
loop_
_atom_site_label
_atom_site_type_symbol
_atom_site_fract_x
_atom_site_fract_y
_atom_site_fract_z
_atom_site_occupancy
K1 K 0.000 0.000 0.000 1
Na1 Na 0.057 0.295 0.761 1
Na2 Na 0.297 0.500 0.797 1
Na3 Na 0.466 0.705 0.761 1
Na4 Na 0.534 0.295 0.239 1
Na5 Na 0.703 0.500 0.203 1
Na6 Na 0.943 0.705 0.239 1
Pb1 Pb 0.391 0.891 0.500 1
Pb2 Pb 0.609 0.109 0.500 1
# **Crystal system**: orthorhombic
# **Distance to the lowest polymorph of the same formula**: 81.5 meV per atom
# **Calculated volume**: 309.78 Å³/cell

=====

Record 5
# K2NaPb (GGA-PBE, relaxed)
data_K2NaPb
_cell_length_a 7.339
_cell_length_b 7.339
_cell_length_c 11.159
_cell_angle_alpha 120.33
_cell_angle_beta 120.33
_cell_angle_gamma 45.24
_symmetry_space_group_name_H-M 'P 1'
_symmetry_Int_Tables_number 1
_symmetry_space_group_name_Hall 'P 1'
loop_
_atom_site_label
_atom_site_type_symbol
_atom_site_fract_x
_atom_site_fract_y
_atom_site_fract_z
_atom_site_occupancy
K1 K 0.000 0.000 0.000 1
K2 K 0.001 0.001 0.498 1
K3 K 0.386 0.386 0.196 1
K4 K 0.611 0.611 0.800 1
Na1 Na 0.318 0.318 0.760 1
Na2 Na 0.681 0.681 0.242 1
Pb1 Pb 0.275 0.275 0.438 1
Pb2 Pb 0.729 0.729 0.565 1
# **Crystal system**: monoclinic
# **Calculated volume**: 357.27 Å³/cell

=====

Record 6
# K2NaPb2 (GGA-PBE, relaxed)
data_K2NaPb2
_cell_length_a 10.425
_cell_length_b 10.425
_cell_length_c 3.664
_cell_angle_alpha 90.00
_cell_angle_beta 90.00
_cell_angle_gamma 90.00
_symmetry_space_group_name_H-M 'P 1'
_symmetry_Int_Tables_number 1
_symmetry_space_group_name_Hall 'P 1'
loop_
_atom_site_label
_atom_site_type_symbol
_atom_site_fract_x
_atom_site_fract_y
_atom_site_fract_z
_atom_site_occupancy
K1 K 0.190 0.310 0.000 1
K2 K 0.310 0.810 0.000 1
K3 K 0.690 0.190 0.000 1
K4 K 0.810 0.690 0.000 1
Na1 Na 0.000 0.000 0.000 1
Na2 Na 0.500 0.500 0.000 1
Pb1 Pb 0.105 0.605 0.500 1
Pb2 Pb 0.395 0.105 0.500 1
Pb3 Pb 0.605 0.895 0.500 1
Pb4 Pb 0.895 0.395 0.500 1
# **Crystal system**: tetragonal
# **Distance to the lowest polymorph of the same formula**: 80.7 meV per atom
# **Calculated volume**: 398.22 Å³/cell

=====

Record 7
# K3Na6Pb2 (GGA-PBE, relaxed)
data_K3Na6Pb2
_cell_length_a 3.869
_cell_length_b 5.811
_cell_length_c 20.312
_cell_angle_alpha 97.99
_cell_angle_beta 94.47
_cell_angle_gamma 90.01
_symmetry_space_group_name_H-M 'P 1'
_symmetry_Int_Tables_number 1
_symmetry_space_group_name_Hall 'P 1'
loop_
_atom_site_label
_atom_site_type_symbol
_atom_site_fract_x
_atom_site_fract_y
_atom_site_fract_z
_atom_site_occupancy
K1 K 0.000 0.000 0.000 1
K2 K 0.200 0.174 0.353 1
K3 K 0.800 0.826 0.647 1
Na1 Na 0.119 0.573 0.147 1
Na2 Na 0.264 0.279 0.553 1
Na3 Na 0.370 0.903 0.805 1
Na4 Na 0.630 0.097 0.195 1
Na5 Na 0.736 0.721 0.447 1
Na6 Na 0.881 0.427 0.853 1
Pb1 Pb 0.327 0.362 0.721 1
Pb2 Pb 0.673 0.638 0.279 1
# **Crystal system**: triclinic
# **Calculated volume**: 450.88 Å³/cell

=====

Record 8
# KNaPb (GGA-PBE, relaxed)
data_KNaPb
_cell_length_a 10.995
_cell_length_b 6.853
_cell_length_c 6.853
_cell_angle_alpha 62.50
_cell_angle_beta 90.00
_cell_angle_gamma 90.00
_symmetry_space_group_name_H-M 'P 1'
_symmetry_Int_Tables_number 1
_symmetry_space_group_name_Hall 'P 1'
loop_
_atom_site_label
_atom_site_type_symbol
_atom_site_fract_x
_atom_site_fract_y
_atom_site_fract_z
_atom_site_occupancy
K1 K 0.169 0.000 0.000 1
K2 K 0.305 0.348 0.348 1
K3 K 0.695 0.348 0.348 1
K4 K 0.831 0.000 0.000 1
Na1 Na 0.237 0.697 0.697 1
Na2 Na 0.500 0.338 0.845 1
Na3 Na 0.500 0.845 0.338 1
Na4 Na 0.763 0.697 0.697 1
Pb1 Pb 0.000 0.039 0.473 1
Pb2 Pb 0.000 0.473 0.039 1
Pb3 Pb 0.000 0.519 0.519 1
Pb4 Pb 0.500 0.841 0.841 1
# **Crystal system**: orthorhombic
# **Distance to the lowest polymorph of the same formula**: 0.0 meV per atom
# **Calculated volume**: 458.05 Å³/cell

=====

Record 9
# K3Na2Pb9 (GGA-PBE, relaxed)
data_K3Na2Pb9
_cell_length_a 9.944
_cell_length_b 9.944
_cell_length_c 9.944
_cell_angle_alpha 149.42
_cell_angle_beta 104.06
_cell_angle_gamma 84.03
_symmetry_space_group_name_H-M 'P 1'
_symmetry_Int_Tables_number 1
_symmetry_space_group_name_Hall 'P 1'
loop_
_atom_site_label
_atom_site_type_symbol
_atom_site_fract_x
_atom_site_fract_y
_atom_site_fract_z
_atom_site_occupancy
K1 K 0.000 0.000 0.000 1
K2 K 0.286 0.286 0.000 1
K3 K 0.714 0.714 0.000 1
Na1 Na 0.341 0.500 0.841 1
Na2 Na 0.659 0.500 0.159 1
Pb1 Pb 0.000 0.363 0.637 1
Pb2 Pb 0.000 0.637 0.363 1
Pb3 Pb 0.136 0.848 0.288 1
Pb4 Pb 0.273 0.637 0.637 1
Pb5 Pb 0.439 0.152 0.288 1
Pb6 Pb 0.500 0.000 0.500 1
Pb7 Pb 0.561 0.848 0.712 1
Pb8 Pb 0.727 0.363 0.363 1
Pb9 Pb 0.864 0.152 0.712 1
# **Crystal system**: orthorhombic
# **Calculated volume**: 474.01 Å³/cell

=====

Record 10
# K2Na2Pb (GGA-PBE, relaxed)
data_K2Na2Pb
_cell_length_a 11.931
_cell_length_b 11.931
_cell_length_c 11.931
_cell_angle_alpha 158.53
_cell_angle_beta 158.53
_cell_angle_gamma 30.55
_symmetry_space_group_name_H-M 'P 1'
_symmetry_Int_Tables_number 1
_symmetry_space_group_name_Hall 'P 1'
loop_
_atom_site_label
_atom_site_type_symbol
_atom_site_fract_x
_atom_site_fract_y
_atom_site_fract_z
_atom_site_occupancy
K1 K 0.092 0.092 0.000 1
K2 K 0.908 0.908 0.000 1
Na1 Na 0.250 0.750 0.500 1
Na2 Na 0.750 0.250 0.500 1
Pb1 Pb 0.500 0.500 0.000 1
# **Crystal system**: tetragonal
# **Distance to the lowest polymorph of the same formula**: 152.7 meV per atom
# **Calculated volume**: 227.43 Å³/cell

=====

Record 11
# K2Na2Pb (GGA-PBE, relaxed)
data_K2Na2Pb
_cell_length_a 8.353
_cell_length_b 8.353
_cell_length_c 6.109
_cell_angle_alpha 90.00
_cell_angle_beta 90.00
_cell_angle_gamma 90.00
_symmetry_space_group_name_H-M 'P 1'
_symmetry_Int_Tables_number 1
_symmetry_space_group_name_Hall 'P 1'
loop_
_atom_site_label
_atom_site_type_symbol
_atom_site_fract_x
_atom_site_fract_y
_atom_site_fract_z
_atom_site_occupancy
K1 K 0.190 0.310 0.000 1
K2 K 0.310 0.810 0.000 1
K3 K 0.690 0.190 0.000 1
K4 K 0.810 0.690 0.000 1
Na1 Na 0.151 0.651 0.500 1
Na2 Na 0.349 0.151 0.500 1
Na3 Na 0.651 0.849 0.500 1
Na4 Na 0.849 0.349 0.500 1
Pb1 Pb 0.000 0.000 0.500 1
Pb2 Pb 0.500 0.500 0.500 1
# **Crystal system**: tetragonal
# **Distance to the lowest polymorph of the same formula**: 53.7 meV per atom
# **Calculated volume**: 426.25 Å³/cell

=====

Record 12
# K3Na7Pb2 (GGA-PBE, relaxed)
data_K3Na7Pb2
_cell_length_a 15.043
_cell_length_b 15.043
_cell_length_c 6.029
_cell_angle_alpha 90.00
_cell_angle_beta 90.00
_cell_angle_gamma 156.79
_symmetry_space_group_name_H-M 'P 1'
_symmetry_Int_Tables_number 1
_symmetry_space_group_name_Hall 'P 1'
loop_
_atom_site_label
_atom_site_type_symbol
_atom_site_fract_x
_atom_site_fract_y
_atom_site_fract_z
_atom_site_occupancy
K1 K 0.000 0.000 0.000 1
K2 K 0.177 0.823 0.000 1
K3 K 0.823 0.177 0.000 1
Na1 Na 0.091 0.909 0.500 1
Na2 Na 0.288 0.712 0.500 1
Na3 Na 0.410 0.590 0.000 1
Na4 Na 0.500 0.500 0.500 1
Na5 Na 0.590 0.410 0.000 1
Na6 Na 0.712 0.288 0.500 1
Na7 Na 0.909 0.091 0.500 1
Pb1 Pb 0.393 0.607 0.500 1
Pb2 Pb 0.607 0.393 0.500 1
# **Crystal system**: orthorhombic
# **Calculated volume**: 537.63 Å³/cell

=====

no.,N(E_F) (states/eV/atom),ΔH_f (0 K) (eV per atom)
1,0.42,0.088
2,0.65,0.021
3,0.35,-0.074
4,0.51,-0.038
5,0.50,-0.053
6,0.44,-0.006
7,0.47,-0.036
8,0.64,-0.116
9,0.49,-0.130
10,0.72,0.078
11,0.51,-0.021
12,0.56,-0.033